[1]
# RbUTl2O8

RbUTl2O8 after structural relaxation (PBE-GGA, the Alexandria database).

Lattice parameters (Å, degrees): 4.653 5.535 8.257 90.01 90.24 95.93
Fractional positions:
Rb1 0.000 0.000 0.000
U1 0.000 0.000 0.500
Tl1 0.498 0.500 0.295
Tl2 0.502 0.500 0.705
O1 0.143 0.526 0.000
O2 0.232 0.185 0.299
O3 0.234 0.185 0.702
O4 0.241 0.727 0.500
O5 0.759 0.273 0.500
O6 0.766 0.815 0.298
O7 0.768 0.815 0.701
O8 0.857 0.474 0.000

As for the uncorrected formation energy: -31.716 kcal/mol of atoms. The value obtained for the total DFT energy (no corrections) is -6.10 eV per atom. The space group is P-1 (2).

=====

[2]
# Sm6HoTl2

Sm6HoTl2 after structural relaxation (PBE-GGA, the Alexandria database).

Lattice parameters (Å, degrees): 9.909 9.909 5.980 97.06 97.06 72.33
Fractional positions:
Sm1 0.055 0.829 0.969
Sm2 0.138 0.389 0.169
Sm3 0.171 0.945 0.531
Sm4 0.271 0.501 0.700
Sm5 0.389 0.138 0.669
Sm6 0.499 0.729 0.800
Sm7 0.501 0.271 0.200
Sm8 0.611 0.862 0.331
Sm9 0.729 0.499 0.300
Sm10 0.829 0.055 0.469
Sm11 0.862 0.611 0.831
Sm12 0.945 0.171 0.031
Ho1 0.359 0.641 0.250
Ho2 0.641 0.359 0.750
Tl1 0.019 0.292 0.597
Tl2 0.292 0.019 0.097
Tl3 0.708 0.981 0.903
Tl4 0.981 0.708 0.403

The distance to the lowest polymorph of the same formula comes out at 47 meV/atom. The value obtained for the total DFT energy (no corrections) is -4.28 eV per atom. The space group is C2/c (15).

=====

[3]
# CePr2Sm3

CePr2Sm3 after structural relaxation (PBE-GGA, the Alexandria database).

Lattice parameters (Å, degrees): 6.937 6.937 17.711 101.31 101.31 29.61
Fractional positions:
Ce1 0.046 0.046 0.178
Ce2 0.954 0.954 0.822
Pr1 0.129 0.129 0.007
Pr2 0.299 0.299 0.666
Pr3 0.701 0.701 0.334
Pr4 0.871 0.871 0.993
Sm1 0.126 0.126 0.492
Sm2 0.217 0.217 0.833
Sm3 0.442 0.442 0.336
Sm4 0.558 0.558 0.664
Sm5 0.783 0.783 0.167
Sm6 0.874 0.874 0.508

The value obtained for the total DFT energy (no corrections) is -4.80 eV per atom. The space group is C2/m (12).

=====

[4]
# CaCoNiP2

CaCoNiP2 after structural relaxation (PBE-GGA, the Alexandria database).

Lattice parameters (Å, degrees): 3.886 3.886 9.440 90.00 90.00 90.00
Fractional positions:
Ca1 0.000 0.000 0.000
Ca2 0.500 0.500 0.500
Co1 0.000 0.500 0.250
Co2 0.500 0.000 0.750
Ni1 0.000 0.500 0.750
Ni2 0.500 0.000 0.250
P1 0.000 0.000 0.374
P2 0.000 0.000 0.626
P3 0.500 0.500 0.126
P4 0.500 0.500 0.874

The value obtained for the total DFT energy (no corrections) is -5.97 eV per atom. The space group is I-4m2 (119).

=====

[5]
# CeYMn

CeYMn after structural relaxation (PBE-GGA, the Alexandria database).

Lattice parameters (Å, degrees): 3.408 3.408 12.469 90.00 90.00 90.00
Fractional positions:
Ce1 0.000 0.000 0.000
Ce2 0.500 0.500 0.500
Y1 0.000 0.000 0.268
Y2 0.500 0.500 0.768
Mn1 0.000 0.000 0.622
Mn2 0.500 0.500 0.122

The distance to the lowest polymorph of the same formula comes out at 0 meV/atom. The value obtained for the total DFT energy (no corrections) is -6.98 eV per atom. The space group is I4mm (107).

=====

[6]
# BaMn2Se

BaMn2Se after structural relaxation (PBE-GGA, the Alexandria database).

Lattice parameters (Å, degrees): 3.518 5.432 10.737 90.00 90.00 90.00
Fractional positions:
Ba1 0.000 0.000 0.000
Ba2 0.500 0.500 0.500
Mn1 0.000 0.500 0.203
Mn2 0.000 0.500 0.797
Mn3 0.500 0.000 0.297
Mn4 0.500 0.000 0.703
Se1 0.000 0.000 0.500
Se2 0.500 0.500 0.000

As for the uncorrected formation energy: 3.258 kcal/mol of atoms. The value obtained for the total DFT energy (no corrections) is -5.80 eV per atom. The space group is Immm (71).